# 1
{"formula": "PrYB12", "functional": "PBE", "state": "optimized geometry", "dos_at_fermi_per_ev_fu": 1.42, "formation_enthalpy_0k_ev_per_atom": -0.441, "magmom_total_mub_per_cell": 0.0, "spacegroup": "P4/mmm (123)", "vol_a3_per_fu": 140.3, "cell": [[4.1237, 0.0000, 0.0000], [0.0000, 4.1237, 0.0000], [0.0000, 0.0000, 8.2481]], "species": ["Pr", "Y", "B", "B", "B", "B", "B", "B", "B", "B", "B", "B", "B", "B"], "fractional_positions": [[0.0000, 0.0000, 0.0000], [0.0000, 0.0000, 0.5000], [0.1995, 0.5000, 0.2519], [0.1995, 0.5000, 0.7481], [0.5000, 0.1995, 0.2519], [0.5000, 0.1995, 0.7481], [0.5000, 0.5000, 0.1005], [0.5000, 0.5000, 0.4012], [0.5000, 0.5000, 0.5988], [0.5000, 0.5000, 0.8995], [0.5000, 0.8005, 0.2519], [0.5000, 0.8005, 0.7481], [0.8005, 0.5000, 0.2519], [0.8005, 0.5000, 0.7481]]}

=====

# 2
{"formula": "HfZr3Zn", "functional": "PBE", "state": "optimized geometry", "dos_at_fermi_per_ev_fu": 9.67, "formation_enthalpy_0k_ev_per_atom": 0.669, "magmom_total_mub_per_cell": 2.5, "spacegroup": "Pm-3m (221)", "vol_a3_per_fu": 124.2, "cell": [[4.9899, 0.0000, 0.0000], [0.0000, 4.9899, 0.0000], [0.0000, 0.0000, 4.9899]], "species": ["Hf", "Zr", "Zr", "Zr", "Zn"], "fractional_positions": [[0.0000, 0.0000, 0.0000], [0.0000, 0.5000, 0.5000], [0.5000, 0.0000, 0.5000], [0.5000, 0.5000, 0.0000], [0.5000, 0.5000, 0.5000]]}